This record from Alexandria via LeMat-Bulk describes a relaxed Th6IrPt2S3 crystal. The functional is GGA-PBE.

Cell lengths 9.4286, 9.4286, 8.4951 Å; angles 105.87, 105.87, 25.15 degrees
Fractional coordinates of all 12 atoms:
Th  0.0009  0.0009  0.2395
Th  0.3322  0.3322  0.4178
Th  0.3380  0.3380  0.9150
Th  0.6620  0.6620  0.0850
Th  0.6678  0.6678  0.5822
Th  0.9991  0.9991  0.7605
Ir  0.5000  0.5000  0.0000
Pt  0.1670  0.1670  0.3354
Pt  0.8330  0.8330  0.6646
S  0.1681  0.1681  0.8338
S  0.5000  0.5000  0.5000
S  0.8319  0.8319  0.1662

## Properties
- Spin magnetization: 0.00 μB per formula unit
- Space-group type: C2/m (12)
- Energy relative to the elements, uncorrected: -1415 meV/atom
- Density: 11.16 g/cm³
- V: 308 Å³/cell